First-principles (meta-GGA SCAN) data for a crystal of InNiPt2 relaxed with PBEsol, as listed in Alexandria via LeMat-Bulk.

Geometry as POSCAR:
```
InNiPt2
1.0
2.944 0.000 0.000
-1.472 4.459 -0.009
0.000 -1.031 4.575
Pt Ni In
2 1 1
direct
0.255 0.510 0.263
0.745 0.490 0.737
0.000 0.000 0.500
0.500 0.000 0.000
```

Properties
The value obtained for the energy is -1.7522 Ha/atom. For the total magnetization, the calculation gives 0.000 μB/atom. The value obtained for the density is 15.593 g cm⁻³. Its density of states at the Fermi level is 3.01 states/eV/f.u.

First-principles (meta-GGA SCAN) data for a crystal of RuPt2Rh relaxed with PBEsol, as listed in Alexandria via LeMat-Bulk.

Geometry as POSCAR:
```
RuPt2Rh
1.0
-1.359 -3.387 -1.155
-0.890 -0.877 3.618
-2.367 3.696 -1.711
Rh Ru Pt
1 1 2
direct
0.500 0.500 0.000
0.000 0.000 0.000
0.250 0.750 0.500
0.750 0.250 0.500
```

Properties
The value obtained for the energy is -1.9201 Ha/atom. For the total magnetization, the calculation gives 0.000 μB/atom. The value obtained for the density is 17.466 g cm⁻³. Its density of states at the Fermi level is 4.45 states/eV/f.u.

First-principles (meta-GGA SCAN) data for a crystal of Mn2InCo relaxed with PBEsol, as listed in Alexandria via LeMat-Bulk.

Geometry as POSCAR:
```
Mn2InCo
1.0
-1.127 0.971 2.557
1.822 -1.797 1.485
4.396 4.611 0.186
Mn In Co
2 1 1
direct
0.000 0.000 0.211
0.000 0.000 0.789
0.500 0.500 0.500
0.500 0.500 0.000
```

Properties
The value obtained for the energy is -0.8081 Ha/atom. For the total magnetization, the calculation gives 2.223 μB/atom. The value obtained for the density is 8.442 g cm⁻³. Its density of states at the Fermi level is 1.64 states/eV/f.u.

First-principles (meta-GGA SCAN) data for a crystal of MnOsW2 relaxed with PBEsol, as listed in Alexandria via LeMat-Bulk.

Geometry as POSCAR:
```
MnOsW2
1.0
-0.796 -2.507 0.920
4.388 -1.475 -0.225
-0.659 1.764 4.235
Os W Mn
1 2 1
direct
0.500 0.500 0.500
0.000 0.500 0.000
0.000 0.000 0.500
0.500 0.000 0.000
```

Properties
The value obtained for the energy is -2.1041 Ha/atom. For the total magnetization, the calculation gives 0.594 μB/atom. The value obtained for the density is 17.820 g cm⁻³. Its density of states at the Fermi level is 2.93 states/eV/f.u.

Question: What is the energy in the second record?
Answer: -1.9201 Ha/atom

Copy entry 3 word for word.
First-principles (meta-GGA SCAN) data for a crystal of Mn2InCo relaxed with PBEsol, as listed in Alexandria via LeMat-Bulk.

Geometry as POSCAR:
```
Mn2InCo
1.0
-1.127 0.971 2.557
1.822 -1.797 1.485
4.396 4.611 0.186
Mn In Co
2 1 1
direct
0.000 0.000 0.211
0.000 0.000 0.789
0.500 0.500 0.500
0.500 0.500 0.000
```

Properties
The value obtained for the energy is -0.8081 Ha/atom. For the total magnetization, the calculation gives 2.223 μB/atom. The value obtained for the density is 8.442 g cm⁻³. Its density of states at the Fermi level is 1.64 states/eV/f.u.